VASP calculation (PBE-GGA) on a relaxed structure of PrSmCuAg.

Computed properties:
* relative energy among the computed polymorphs: 0 meV/atom
* space group: P4mm
* total moment: 0.0 Bohr magnetons per cell

```
4
Lattice="3.6552 0.0000 0.0000 0.0000 3.6552 0.0000 0.0000 0.0000 7.3800" Properties=species:S:1:pos:R:3 pbc="T T T"
Cu 0.0000 0.0000 2.7262
Pr 1.8276 1.8276 0.8901
Sm 1.8276 1.8276 4.3742
Ag 0.0000 0.0000 6.2378
```